This record from Alexandria via LeMat-Bulk describes Li2Dy3Sn4 after structural relaxation. The functional is PBE.

Calculated values
Formation enthalpy at 0 K, kcal/mol of atoms: -13.91

a = 11.445 Å, b = 4.564 Å, c = 8.816 Å
α = 90.00°, β = 109.62°, γ = 90.00°
Space group C2/m (No. 12)
Asymmetric unit:
Li: 0.184 0.000 0.363 (multiplicity 4)
Dy: 0.000 0.500 0.000 (multiplicity 2)
Dy: 0.133 0.000 0.687 (multiplicity 4)
Sn: 0.076 0.500 0.389 (multiplicity 4)
Sn: 0.203 0.000 0.072 (multiplicity 4)

***

This record from Alexandria via LeMat-Bulk describes LiDy3Sn3 after structural relaxation. The functional is PBE.

Calculated values
Formation enthalpy at 0 K, kcal/mol of atoms: -15.23

a = 11.370 Å, b = 4.557 Å, c = 14.706 Å
α = 90.00°, β = 109.04°, γ = 90.00°
Space group C2/m (No. 12)
Asymmetric unit:
Li: 0.239 0.000 0.399 (multiplicity 4)
Dy: 0.034 0.500 0.385 (multiplicity 4)
Dy: 0.094 0.500 0.919 (multiplicity 4)
Dy: 0.241 0.500 0.223 (multiplicity 4)
Sn: 0.028 0.000 0.236 (multiplicity 4)
Sn: 0.132 0.000 0.075 (multiplicity 4)
Sn: 0.137 0.000 0.552 (multiplicity 4)

***

This record from Alexandria via LeMat-Bulk describes LiDy2Sn after structural relaxation. The functional is PBE.

Calculated values
Formation enthalpy at 0 K, kcal/mol of atoms: 3.57
Energy relative to the lowest polymorph listed for this composition, meV per atom: 569

a = 3.4173 Å, b = 3.4173 Å, c = 34.5598 Å
α = 90.00°, β = 90.00°, γ = 120.00°
Space group R-3m (No. 166, hexagonal axes)
Asymmetric unit:
Li: 0.0000 0.0000 0.0000 (multiplicity 3)
Dy: 0.0000 0.0000 0.4102 (multiplicity 6)
Sn: 0.0000 0.0000 0.5000 (multiplicity 3)

***

This record from Alexandria via LeMat-Bulk describes LiDySn6 after structural relaxation. The functional is PBE.

Calculated values
Formation enthalpy at 0 K, kcal/mol of atoms: -6.69

a = 9.345 Å, b = 9.407 Å, c = 4.620 Å
α = 90.00°, β = 90.00°, γ = 90.00°
Space group Cmmm (No. 65)
Asymmetric unit:
Li: 0.000 0.000 0.000 (multiplicity 2)
Dy: 0.000 0.500 0.000 (multiplicity 2)
Sn: 0.000 0.240 0.500 (multiplicity 4)
Sn: 0.240 0.000 0.500 (multiplicity 4)
Sn: 0.250 0.250 0.000 (multiplicity 4)

***

This record from Alexandria via LeMat-Bulk describes Li3DySn3 after structural relaxation. The functional is PBE.

Calculated values
Formation enthalpy at 0 K, kcal/mol of atoms: -5.54
Energy relative to the lowest polymorph listed for this composition, meV per atom: 0

a = 8.3242 Å, b = 8.3242 Å, c = 17.4398 Å
α = 90.00°, β = 90.00°, γ = 120.00°
Space group R-3 (No. 148, hexagonal axes)
Asymmetric unit:
Li: 0.0009 0.6554 0.3833 (multiplicity 18)
Dy: 0.0000 0.0000 0.1656 (multiplicity 6)
Sn: 0.0005 0.2949 0.4431 (multiplicity 18)

***

This record from Alexandria via LeMat-Bulk describes Li6DySn6 after structural relaxation. The functional is PBE.

Calculated values
Formation enthalpy at 0 K, kcal/mol of atoms: -8.37
Energy relative to the lowest polymorph listed for this composition, meV per atom: 9

a = 5.7988 Å, b = 5.7988 Å, c = 9.3131 Å
α = 90.00°, β = 90.00°, γ = 120.00°
Space group P6/mmm (No. 191)
Asymmetric unit:
Li: 0.0000 0.5000 0.2462 (multiplicity 6)
Dy: 0.0000 0.0000 0.0000 (multiplicity 1)
Sn: 0.0000 0.0000 0.3462 (multiplicity 2)
Sn: 0.3333 0.6667 0.0000 (multiplicity 2)
Sn: 0.3333 0.6667 0.5000 (multiplicity 2)